Crystalline Ce2ErScAs4 at its relaxed geometry. Source: the Alexandria database, functional PBE.

## Properties
Spin magnetization, μB per formula unit: 1.23
Raw total energy, eV per atom: -6.59
Density of states at the Fermi level, states/eV/f.u.: 10.94

Cell: 7.0770 4.1107 7.1179 Å, 90.00 109.59 90.00°
Closest atoms and distances in Å follow each position.
Space group P2/m (No. 10)
Unique sites:
1 Ce 0.0000 0.0000 0.0000 (multiplicity 1)  6 As 2.93
2 Ce 0.0000 0.5000 0.5000 (multiplicity 1)  6 As 2.98
3 Er 0.5000 0.0000 0.5000 (multiplicity 1)  6 As 2.88
4 Sc 0.5000 0.5000 0.0000 (multiplicity 1)  6 As 2.82-2.83
5 As 0.2611 0.5000 0.2479 (multiplicity 2)  1 Sc 2.82, 2 Er 2.88, 3 Ce 2.93-2.98
6 As 0.2650 0.0000 0.7607 (multiplicity 2)  2 Sc 2.83, 1 Er 2.88, 3 Ce 2.93-2.98